{
  "formula": "Tl7Se3S",
  "functional": "PBE",
  "state": "optimized geometry",
  "mass_density_g_cm3": 8.00,
  "energy_ev_per_atom": -3.12,
  "sg": "Cmcm, No. 63",
  "raw_formation_energy_ev_per_atom": -0.2845,
  "total_magnetization_mub_per_atom": 0.00,
  "cell": [[-8.004, 3.912, 2.270], [-0.154, -7.812, -4.844], [-0.155, -5.003, 8.074]],
  "species": ["Tl", "Tl", "Tl", "Tl", "Tl", "Tl", "Tl", "Tl", "Tl", "Tl", "Tl", "Tl", "Tl", "Tl", "Se", "Se", "Se", "Se", "Se", "Se", "S", "S"],
  "frac_coords": [[0.074, 0.824, 0.250], [0.176, 0.926, 0.750], [0.165, 0.454, 0.441], [0.165, 0.454, 0.059], [0.546, 0.835, 0.941], [0.546, 0.835, 0.559], [0.348, 0.348, 0.750], [0.652, 0.652, 0.250], [0.454, 0.165, 0.059], [0.454, 0.165, 0.441], [0.835, 0.546, 0.941], [0.835, 0.546, 0.559], [0.824, 0.074, 0.250], [0.926, 0.176, 0.750], [0.214, 0.613, 0.750], [0.000, 0.000, 0.000], [0.000, 0.000, 0.500], [0.387, 0.786, 0.250], [0.613, 0.214, 0.750], [0.786, 0.387, 0.250], [0.500, 0.500, 0.000], [0.500, 0.500, 0.500]]
}